(1)
An optimized crystal structure of BaIn2Os, computed with PBE. Values from VASP.

```
&SYSTEM
  ibrav = 0, nat = 8, ntyp = 3
/
ATOMIC_SPECIES
Ba 137.33 Ba.upf
In 114.82 In.upf
Os 190.23 Os.upf
CELL_PARAMETERS angstrom
5.774 0.000 0.000
0.000 5.774 0.000
2.887 2.887 8.624
ATOMIC_POSITIONS crystal
Ba 0.500 0.500 0.000
Ba 0.250 0.750 0.500
In 0.876 0.125 0.250
In 0.375 0.124 0.750
In 0.875 0.126 0.750
In 0.874 0.625 0.250
Os 0.750 0.250 0.500
Os 0.000 0.000 0.000
```

Calculated formation energy = 383 meV/atom
DOS(E_F) = 1.27 states/eV per cell
Total magnetization = 0.0 μB/f.u.
Symmetry = I-42d

---

(2)
An optimized crystal structure of AlH3I, computed with PBE. Values from VASP.

```
&SYSTEM
  ibrav = 0, nat = 5, ntyp = 3
/
ATOMIC_SPECIES
H 1.01 H.upf
Al 26.98 Al.upf
I 126.90 I.upf
CELL_PARAMETERS angstrom
-3.149 2.155 0.739
-2.211 -2.588 -1.875
-0.547 -1.939 3.323
ATOMIC_POSITIONS crystal
H 0.000 0.000 0.500
H 0.500 0.000 0.000
H 0.000 0.500 0.000
Al 0.000 0.000 0.000
I 0.500 0.500 0.500
```

DOS(E_F) = 3.23 states/eV per cell
Energy above the lowest structure with this stoichiometry = 0.3998 eV/atom
Total magnetization = 0.0 μB/f.u.
Symmetry = Pm-3m

---

(3)
An optimized crystal structure of PmThTcRu, computed with PBE. Values from VASP.

```
&SYSTEM
  ibrav = 0, nat = 4, ntyp = 4
/
ATOMIC_SPECIES
Pm 145.00 Pm.upf
Th 232.04 Th.upf
Ru 101.07 Ru.upf
Tc 98.00 Tc.upf
CELL_PARAMETERS angstrom
4.982 0.000 0.000
2.491 4.315 0.000
2.491 1.438 4.068
ATOMIC_POSITIONS crystal
Pm 0.250 0.250 0.250
Th 0.750 0.750 0.750
Ru 0.000 0.000 0.000
Tc 0.500 0.500 0.500
```

Calculated formation energy = -92 meV/atom
DOS(E_F) = 3.33 states/eV per cell
Total magnetization = 0.0 μB/f.u.
Symmetry = F-43m

---

(4)
An optimized crystal structure of AgIrAu2, computed with PBE. Values from VASP.

```
&SYSTEM
  ibrav = 0, nat = 4, ntyp = 3
/
ATOMIC_SPECIES
Au 196.97 Au.upf
Ir 192.22 Ir.upf
Ag 107.87 Ag.upf
CELL_PARAMETERS angstrom
-1.919 -3.746 -3.910
-2.921 -4.665 1.648
0.596 5.692 -0.495
ATOMIC_POSITIONS crystal
Au 0.510 0.510 0.000
Au 0.990 0.990 0.000
Ir 0.750 0.250 0.500
Ag 0.250 0.750 0.500
```

Calculated formation energy = 346 meV/atom
DOS(E_F) = 2.56 states/eV per cell
Energy above the lowest structure with this stoichiometry = 0.1242 eV/atom
Total magnetization = 0.0 μB/f.u.
Symmetry = Immm